(1)
First-principles (PBE) data for a geometry-optimized K2TlPbSe structure, as listed in Alexandria via LeMat-Bulk.

Values from the calculation:
Uncorrected formation energy in eV/atom: 0.11
Mass density in g/cm³: 3.71
Energy in eV/atom: -2.238
Total moment in Bohr magnetons per cell: 1.6

The structure in POSCAR format:
```
K2TlPbSe
1.0
6.673 0.000 0.000
0.000 5.714 0.000
0.000 0.000 6.673
Pb K Tl Se
1 2 1 1
direct
0.000 0.000 0.000
0.000 0.000 0.500
0.500 0.000 0.000
0.000 0.500 0.000
0.500 0.500 0.500
```

***

(2)
First-principles (PBE) data for a geometry-optimized Ca2SiPb2 structure, as listed in Alexandria via LeMat-Bulk.

Values from the calculation:
Uncorrected formation energy in eV/atom: -0.21
Mass density in g/cm³: 6.01
Energy in eV/atom: -3.581
Total moment in Bohr magnetons per cell: 0.0

The structure in POSCAR format:
```
Ca2SiPb2
1.0
7.741 0.000 0.000
0.000 7.741 0.000
0.000 0.000 4.821
Pb Ca Si
4 4 2
direct
0.358 0.858 0.000
0.142 0.358 0.000
0.858 0.642 0.000
0.642 0.142 0.000
0.832 0.332 0.500
0.668 0.832 0.500
0.332 0.168 0.500
0.168 0.668 0.500
0.000 0.000 0.000
0.500 0.500 0.000
```

***

(3)
First-principles (PBE) data for a geometry-optimized LiAsOs2 structure, as listed in Alexandria via LeMat-Bulk.

Values from the calculation:
Mass density in g/cm³: 14.01
Energy in eV/atom: -6.925
Total moment in Bohr magnetons per cell: 0.0
E_form in eV/atom: 0.331

The structure in POSCAR format:
```
LiAsOs2
1.0
-4.451 -0.891 2.145
-0.087 -1.037 4.912
1.369 3.385 -3.445
Li Os As
1 2 1
direct
0.744 0.244 0.500
0.002 0.002 0.000
0.259 0.759 0.500
0.495 0.495 0.000
```